## w
DFT (PBE) results for MnNiTeI2 after structural relaxation.

a = 5.2098 Å, b = 5.2098 Å, c = 5.2661 Å
α = 90.00°, β = 90.00°, γ = 90.00°
Space group P4/mmm (No. 123)
Asymmetric unit:
Mn  0.0000  0.0000  0.0000 x1
Ni  0.5000  0.5000  0.5000 x1
Te  0.5000  0.5000  0.0000 x1
I  0.0000  0.5000  0.5000 x2

The calculated density comes out at 5.751 g/cm³.

=====

## x
DFT (PBE) results for MnNiTeI2 after structural relaxation.

a = 5.3914 Å, b = 5.3914 Å, c = 5.5400 Å
α = 90.00°, β = 90.00°, γ = 90.00°
Space group P4/mmm (No. 123)
Asymmetric unit:
Mn  0.0000  0.0000  0.0000 x1
Ni  0.5000  0.5000  0.5000 x1
Te  0.0000  0.0000  0.5000 x1
I  0.0000  0.5000  0.0000 x2

The calculated density comes out at 5.105 g/cm³.

=====

Relative energies, eV/atom: w 0.000; x 0.231.

=====

## w
DFT (PBE) results for NpMnI6 after structural relaxation.

a = 7.9087 Å, b = 13.6244 Å, c = 7.1797 Å
α = 90.00°, β = 91.30°, γ = 90.00°
Space group C2/m (No. 12)
Asymmetric unit:
Np  0.0000  0.0000  0.0000 x2
Mn  0.0000  0.0000  0.5000 x2
I  0.1482  0.1492  0.7410 x8
I  0.2032  0.5000  0.7301 x4

The calculated density comes out at 4.523 g/cm³.

=====

## x
DFT (PBE) results for NpMnI6 after structural relaxation.

a = 7.4431 Å, b = 7.4431 Å, c = 20.2616 Å
α = 90.00°, β = 90.00°, γ = 120.00°
Space group R-3 (No. 148, hexagonal axes)
Asymmetric unit:
Np  0.0000  0.0000  0.0000 x3
Mn  0.0000  0.0000  0.5000 x3
I  0.0081  0.6546  0.2476 x18

The calculated density comes out at 5.398 g/cm³.

=====

Relative energies, eV/atom: w 0.000; x 0.056.